[1]
{"formula": "LiRu2Pt", "functional": "PBE", "state": "relaxed", "cell": [[9.274, 0.017, 0.010], [8.876, 2.689, 0.010], [8.876, 1.324, 2.341]], "species": ["Li", "Ru", "Ru", "Pt"], "fractional_positions": [[0.250, 0.250, 0.250], [0.000, 0.000, 0.000], [0.500, 0.500, 0.500], [0.750, 0.750, 0.750]], "formation_energy_ev_per_atom": 0.20, "vol_a3_per_atom": 14.445, "dos_at_fermi_per_ev_atom": 1.33, "e_above_lowest_polymorph_mev_per_atom": 240.0}

[2]
{"formula": "LiRuPt2", "functional": "PBE", "state": "relaxed", "cell": [[-1.192, 1.604, -1.817], [1.139, -2.304, -0.831], [-8.122, -4.505, 1.353]], "species": ["Li", "Pt", "Pt", "Ru"], "fractional_positions": [[0.500, 0.500, 0.754], [0.500, 0.500, 0.256], [0.000, 0.000, 0.985], [0.000, 0.000, 0.506]], "formation_energy_ev_per_atom": 0.04, "vol_a3_per_atom": 14.967, "dos_at_fermi_per_ev_atom": 1.14, "e_above_lowest_polymorph_mev_per_atom": 327.1}

[3]
{"formula": "LiRuPt3", "functional": "PBE", "state": "relaxed", "cell": [[-3.900, -1.434, 0.707], [1.321, -3.940, -0.703], [0.900, -0.429, 4.095]], "species": ["Pt", "Pt", "Pt", "Ru", "Li"], "fractional_positions": [[0.500, 0.000, 0.000], [0.000, 0.500, 0.000], [0.000, 0.000, 0.500], [0.500, 0.500, 0.500], [0.000, 0.000, 0.000]], "formation_energy_ev_per_atom": 0.66, "vol_a3_per_atom": 14.972, "dos_at_fermi_per_ev_atom": 1.61, "e_above_lowest_polymorph_mev_per_atom": 0.0}

[4]
{"formula": "LiRu2Pt", "functional": "PBE", "state": "relaxed", "cell": [[-0.382, -5.538, -1.699], [3.572, -2.995, -3.459], [-1.206, 3.092, 4.763]], "species": ["Ru", "Ru", "Pt", "Li"], "fractional_positions": [[0.466, 0.466, 0.000], [0.034, 0.034, 0.000], [0.250, 0.750, 0.500], [0.750, 0.250, 0.500]], "formation_energy_ev_per_atom": 0.00, "vol_a3_per_atom": 14.965, "dos_at_fermi_per_ev_atom": 0.62, "e_above_lowest_polymorph_mev_per_atom": 40.4}

[5]
{"formula": "LiRuPt3", "functional": "PBE", "state": "relaxed", "cell": [[4.826, 0.000, 0.000], [0.000, 4.826, 0.000], [0.000, 0.000, 4.826]], "species": ["Pt", "Pt", "Pt", "Li", "Ru"], "fractional_positions": [[0.000, 0.000, 0.500], [0.000, 0.500, 0.000], [0.500, 0.000, 0.000], [0.500, 0.500, 0.500], [0.000, 0.000, 0.000]], "formation_energy_ev_per_atom": 0.93, "vol_a3_per_atom": 22.477, "dos_at_fermi_per_ev_atom": 1.14, "e_above_lowest_polymorph_mev_per_atom": 261.8}

[6]
{"formula": "Li2RuPt2", "functional": "PBE", "state": "relaxed", "cell": [[6.949, 0.000, 0.000], [0.000, 6.949, 0.000], [0.000, 0.000, 2.713]], "species": ["Pt", "Pt", "Pt", "Pt", "Li", "Li", "Li", "Li", "Ru", "Ru"], "fractional_positions": [[0.807, 0.307, 0.500], [0.307, 0.193, 0.500], [0.193, 0.693, 0.500], [0.693, 0.807, 0.500], [0.109, 0.391, 0.000], [0.391, 0.891, 0.000], [0.609, 0.109, 0.000], [0.891, 0.609, 0.000], [0.500, 0.500, 0.000], [0.000, 0.000, 0.000]], "formation_energy_ev_per_atom": -0.19, "vol_a3_per_atom": 13.102, "dos_at_fermi_per_ev_atom": 0.73, "e_above_lowest_polymorph_mev_per_atom": 0.0}

[7]
{"formula": "LiRu2Pt", "functional": "PBE", "state": "relaxed", "cell": [[4.620, 0.005, 0.003], [3.835, 2.576, 0.003], [0.710, 0.217, 4.714]], "species": ["Ru", "Ru", "Pt", "Li"], "fractional_positions": [[0.997, 0.997, 0.960], [0.744, 0.744, 0.782], [0.255, 0.255, 0.288], [0.504, 0.504, 0.471]], "formation_energy_ev_per_atom": -0.03, "vol_a3_per_atom": 14.004, "dos_at_fermi_per_ev_atom": 0.91, "e_above_lowest_polymorph_mev_per_atom": 12.5}

[8]
{"formula": "LiRuPt2", "functional": "PBE", "state": "relaxed", "cell": [[4.687, 0.000, -0.009], [1.519, 4.434, 0.009], [-3.097, -2.226, 2.725]], "species": ["Pt", "Pt", "Ru", "Li"], "fractional_positions": [[0.000, 0.000, 0.000], [0.500, 0.500, 0.000], [0.750, 0.250, 0.500], [0.250, 0.750, 0.500]], "formation_energy_ev_per_atom": -0.17, "vol_a3_per_atom": 14.161, "dos_at_fermi_per_ev_atom": 0.85, "e_above_lowest_polymorph_mev_per_atom": 119.4}

[9]
{"formula": "LiRuPt", "functional": "PBE", "state": "relaxed", "cell": [[-1.289, 3.945, -6.040], [-2.252, 1.509, -6.558], [-1.724, 1.899, 0.741]], "species": ["Ru", "Pt", "Li"], "fractional_positions": [[0.337, 0.337, 0.663], [0.661, 0.661, 0.339], [0.002, 0.002, 0.998]], "formation_energy_ev_per_atom": 0.10, "vol_a3_per_atom": 14.599, "dos_at_fermi_per_ev_atom": 1.23, "e_above_lowest_polymorph_mev_per_atom": 160.0}

[10]
{"formula": "LiRuPt2", "functional": "PBE", "state": "relaxed", "cell": [[-1.206, -1.663, 1.751], [-0.027, -0.622, -2.627], [7.934, -4.675, 1.026]], "species": ["Ru", "Pt", "Pt", "Li"], "fractional_positions": [[0.500, 0.500, 0.250], [0.000, 0.000, 0.990], [0.000, 0.000, 0.510], [0.500, 0.500, 0.750]], "formation_energy_ev_per_atom": -0.06, "vol_a3_per_atom": 14.767, "dos_at_fermi_per_ev_atom": 1.16, "e_above_lowest_polymorph_mev_per_atom": 230.7}

[11]
{"formula": "LiRuPt", "functional": "PBE", "state": "relaxed", "cell": [[-4.103, 0.402, 0.202], [-2.418, -3.330, -0.314], [-2.049, -1.382, 3.306]], "species": ["Pt", "Ru", "Li"], "fractional_positions": [[0.750, 0.750, 0.750], [0.000, 0.000, 0.000], [0.500, 0.500, 0.500]], "formation_energy_ev_per_atom": 0.30, "vol_a3_per_atom": 16.573, "dos_at_fermi_per_ev_atom": 1.39, "e_above_lowest_polymorph_mev_per_atom": 366.5}

[12]
{"formula": "LiRuPt2", "functional": "PBE", "state": "relaxed", "cell": [[-1.517, -2.479, -2.455], [3.519, -0.695, -1.473], [0.512, -2.859, 2.570]], "species": ["Pt", "Pt", "Ru", "Li"], "fractional_positions": [[0.000, 0.500, 0.500], [0.000, 0.000, 0.000], [0.500, 0.500, 0.000], [0.500, 0.000, 0.500]], "formation_energy_ev_per_atom": -0.12, "vol_a3_per_atom": 14.301, "dos_at_fermi_per_ev_atom": 1.02, "e_above_lowest_polymorph_mev_per_atom": 165.6}